Be2SbCl | Alexandria via LeMat-Bulk | GGA-PBEsol | optimized geometry; symmetry = P4/mmm; mass density = 4.3 g cm⁻³; energy = -3.09 eV/atom; DOS(E_F) = 0.345 states/eV/atom
1.0
3.158 0.000 0.000
0.000 3.158 0.000
0.000 0.000 6.709
Sb Cl Be
1 1 2
Direct
0.500 0.500 0.500
0.500 0.500 0.000
0.000 0.000 0.734
0.000 0.000 0.266